Density functional theory data (PBE) for a relaxed Ca2FeTeC crystal.

Lattice parameters (Å, degrees): 5.8351 4.6727 5.8351 90.00 90.00 90.00
With the nearest neighbours (Å) after each atom.
Element x y z (fractional)
1 C 0.5000 0.5000 0.5000  8 Ca 3.74, 4 Fe 4.13
2 Ca 0.0000 0.0000 0.5000  2 Te 2.92
3 Ca 0.5000 0.0000 0.0000  2 Te 2.92
4 Te 0.0000 0.0000 0.0000  2 Fe 2.34
5 Fe 0.0000 0.5000 0.0000  2 Te 2.34

Results
space-group type	P4/mmm
energy above the lowest structure with this stoichiometry	1580.3	meV per atom
E_form (uncorrected)	1203	meV/atom
energy	-3.764	eV per atom
D(E_F)	3.331	states/eV per cell